A geometry-optimized Be2TcAg structure, computed with GGA-PBE.

Cell and atoms, written as POSCAR:
```
Be2TcAg
1.0
-4.246 2.316 1.529
-3.493 -2.380 2.806
4.749 1.690 -0.574
Be Tc Ag
2 1 1
direct
0.988 0.988 0.000
0.771 0.271 0.500
0.511 0.511 0.000
0.230 0.730 0.500
```

Calculated values
The energy above the most stable polymorph in this dataset is 147.1 meV per atom. The formation energy from the elements is 0.22 eV/atom. As for the crystal system: orthorhombic.

=====

A geometry-optimized HgBrCl2 structure, computed with GGA-PBE.

Cell and atoms, written as POSCAR:
```
HgBrCl2
1.0
-1.128 -2.097 -5.355
5.057 -2.942 0.332
-2.508 -1.473 2.509
Hg Br Cl
1 1 2
direct
0.498 0.502 0.000
0.723 0.277 0.500
0.984 0.016 0.000
0.295 0.705 0.500
```

Calculated values
The value obtained for the formation energy (no corrections) is -0.465 eV per formula unit. The energy above the most stable polymorph in this dataset is 139.9 meV per atom. As for the crystal system: monoclinic.

=====

A geometry-optimized LaTaP2H structure, computed with GGA-PBE.

Cell and atoms, written as POSCAR:
```
LaTaP2H
1.0
4.884 0.000 0.000
0.000 4.884 0.000
0.000 0.000 3.842
P La H Ta
2 1 1 1
direct
0.000 0.500 0.000
0.500 0.000 0.000
0.500 0.500 0.500
0.000 0.000 0.500
0.000 0.000 0.000
```

Calculated values
As for the crystal system: tetragonal.

=====

no.,mass density (g cm⁻³),calculated total energy (eV/atom),DOS(E_F) (states/eV/atom)
1,7.6,-4.95,0.47
2,5.1,-1.53,0.96
3,6.9,-6.95,0.54